No. 1
A relaxed structure of ZrTcPb, computed with PBE-GGA.

Lattice parameters (Å, degrees): 4.8067 4.8067 3.0572 90.00 90.00 120.00
Fractional positions:
Zr1 0.0000 0.0000 0.0000
Tc1 0.3333 0.6667 0.6197
Pb1 0.6667 0.3333 0.5398

Its energy above the most stable polymorph in this dataset is 120.0 meV per atom. The crystal system is trigonal. As for the space group: P3m1. The formation energy from the elements comes out at 0.19 eV/atom.

No. 2
A relaxed structure of ReTc5, computed with PBE-GGA.

Lattice parameters (Å, degrees): 4.4324 7.3002 7.3002 21.81 90.00 90.00
Fractional positions:
Re1 0.0000 0.0000 0.0000
Tc1 0.0000 0.3334 0.3334
Tc2 0.0000 0.6675 0.6675
Tc3 0.5000 0.2221 0.2221
Tc4 0.5000 0.5556 0.5556
Tc5 0.5000 0.8884 0.8884

Its energy above the most stable polymorph in this dataset is 0.0 meV per atom. The crystal system is orthorhombic. As for the space group: Amm2. The formation energy from the elements comes out at 0.00 eV/atom.

No. 3
A relaxed structure of Zr2FeSb, computed with PBE-GGA.

Lattice parameters (Å, degrees): 5.1312 5.1312 5.1312 129.66 129.66 73.96
Fractional positions:
Zr1 0.2500 0.7500 0.5000
Zr2 0.7500 0.2500 0.5000
Fe1 0.0000 0.0000 0.0000
Sb1 0.5000 0.5000 0.0000

The calculation puts the formation energy (no corrections) at -1.072 eV/f.u. The crystal system is tetragonal. As for the space group: I4/mmm.

No. 4
A relaxed structure of VInOs2, computed with PBE-GGA.

Lattice parameters (Å, degrees): 6.9702 6.9702 6.9702 131.15 131.15 71.58
Fractional positions:
V1 0.0000 0.0000 0.0000
V2 0.7500 0.2500 0.5000
In1 0.2500 0.7500 0.5000
In2 0.5000 0.5000 0.0000
Os1 0.0724 0.6250 0.9474
Os2 0.3750 0.3224 0.4474
Os3 0.6776 0.1250 0.0526
Os4 0.8750 0.9276 0.5526

The crystal system is tetragonal. As for the space group: I-42d. The formation energy from the elements comes out at 1.51 eV/atom.

No. 5
A relaxed structure of ZrSi2Tc2, computed with PBE-GGA.

Lattice parameters (Å, degrees): 5.5018 5.5018 5.5018 134.22 134.22 66.74
Fractional positions:
Zr1 0.0000 0.0000 0.0000
Si1 0.2500 0.7500 0.5000
Si2 0.7500 0.2500 0.5000
Tc1 0.3758 0.3758 0.0000
Tc2 0.6242 0.6242 0.0000

The calculation puts the formation energy (no corrections) at -1.155 eV/f.u. Its energy above the most stable polymorph in this dataset is 272.3 meV per atom. The crystal system is tetragonal. As for the space group: I4/mmm.

No. 6
A relaxed structure of Tb7Tm3Tl2, computed with PBE-GGA.

Lattice parameters (Å, degrees): 5.5907 3.5982 18.3948 90.00 93.89 90.00
Fractional positions:
Tb1 0.0000 0.0000 0.0000
Tb2 0.1636 0.5000 0.1730
Tb3 0.2585 0.5000 0.5406
Tb4 0.3392 0.0000 0.8529
Tb5 0.6608 0.0000 0.1471
Tb6 0.7415 0.5000 0.4594
Tb7 0.8364 0.5000 0.8270
Tm1 0.2215 0.0000 0.3680
Tm2 0.5000 0.5000 0.0000
Tm3 0.7785 0.0000 0.6320
Tl1 0.3010 0.5000 0.7072
Tl2 0.6990 0.5000 0.2928

The crystal system is monoclinic. As for the space group: P2/m. The formation energy from the elements comes out at -0.01 eV/atom.

No. 7
A relaxed structure of Hf6Mn2Ag, computed with PBE-GGA.

Lattice parameters (Å, degrees): 7.7067 7.7067 7.7067 112.19 111.26 105.05
Fractional positions:
Hf1 0.0363 0.2421 0.7942
Hf2 0.1932 0.2793 0.4725
Hf3 0.1932 0.7207 0.9139
Hf4 0.3237 0.0145 0.6908
Hf5 0.3237 0.6328 0.3092
Hf6 0.4479 0.2421 0.2058
Hf7 0.5521 0.7579 0.7942
Hf8 0.6763 0.3672 0.6908
Hf9 0.6763 0.9855 0.3092
Hf10 0.8068 0.2793 0.0861
Hf11 0.8068 0.7207 0.5275
Hf12 0.9637 0.7579 0.2058
Mn1 0.1101 0.6101 0.5000
Mn2 0.3357 0.0000 0.3357
Mn3 0.6643 0.0000 0.6643
Mn4 0.8899 0.3899 0.5000
Ag1 0.0000 0.0000 0.0000
Ag2 0.5000 0.5000 0.0000

The crystal system is orthorhombic. As for the space group: Immm. The formation energy from the elements comes out at -0.04 eV/atom.

No. 8
A relaxed structure of Ba2TaGaBi, computed with PBE-GGA.

Lattice parameters (Å, degrees): 6.0979 6.0979 5.1232 90.00 90.00 90.00
Fractional positions:
Ba1 0.0000 0.5000 0.0000
Ba2 0.5000 0.0000 0.0000
Ta1 0.0000 0.0000 0.0000
Ga1 0.0000 0.0000 0.5000
Bi1 0.5000 0.5000 0.5000

The crystal system is tetragonal. As for the space group: P4/mmm. The formation energy from the elements comes out at 0.56 eV/atom.

No. 9
A relaxed structure of Ba6Sb2Te3I, computed with PBE-GGA.

Lattice parameters (Å, degrees): 11.2991 11.2991 10.3556 103.47 103.47 24.92
Fractional positions:
Ba1 0.0027 0.0027 0.2669
Ba2 0.3264 0.3264 0.9127
Ba3 0.3308 0.3308 0.4152
Ba4 0.6692 0.6692 0.5848
Ba5 0.6736 0.6736 0.0873
Ba6 0.9973 0.9973 0.7331
Sb1 0.1643 0.1643 0.3286
Sb2 0.8357 0.8357 0.6714
Te1 0.1617 0.1617 0.8352
Te2 0.5000 0.5000 0.5000
Te3 0.8383 0.8383 0.1648
I1 0.5000 0.5000 0.0000

The calculation puts the formation energy (no corrections) at -17.554 eV/f.u. The crystal system is monoclinic. As for the space group: C2/m.

No. 10
A relaxed structure of RbIrOs, computed with PBE-GGA.

Lattice parameters (Å, degrees): 4.0321 4.0321 11.8915 90.00 90.00 120.00
Fractional positions:
Rb1 0.0000 0.0000 0.0000
Rb2 0.0000 0.0000 0.5000
Ir1 0.3333 0.6667 0.2252
Ir2 0.6667 0.3333 0.7252
Os1 0.3333 0.6667 0.7701
Os2 0.6667 0.3333 0.2701

Its energy above the most stable polymorph in this dataset is 292.8 meV per atom. The crystal system is hexagonal. As for the space group: P6_3mc. The formation energy from the elements comes out at 0.83 eV/atom.

No. 11
A relaxed structure of Na5Mg, computed with PBE-GGA.

Lattice parameters (Å, degrees): 6.5128 6.5128 6.0254 90.00 90.00 120.00
Fractional positions:
Na1 0.0000 0.5000 0.0000
Na2 0.3333 0.6667 0.5000
Na3 0.5000 0.0000 0.0000
Na4 0.5000 0.5000 0.0000
Na5 0.6667 0.3333 0.5000
Mg1 0.0000 0.0000 0.5000

The crystal system is hexagonal. As for the space group: P6/mmm. The formation energy from the elements comes out at 0.18 eV/atom.

No. 12
A relaxed structure of MgTi2, computed with PBE-GGA.

Lattice parameters (Å, degrees): 5.7763 5.7763 7.1074 104.99 104.99 28.99
Fractional positions:
Mg1 0.0000 0.0000 0.0000
Mg2 0.6639 0.6639 0.3355
Ti1 0.2793 0.2793 0.0420
Ti2 0.3261 0.3261 0.6654
Ti3 0.6101 0.6101 0.7182
Ti4 0.9326 0.9326 0.4020

The crystal system is monoclinic. As for the space group: Cm. The formation energy from the elements comes out at 0.16 eV/atom.

In order of appearance, calculated total energy = -7.35; -10.71; -7.69; -7.07; -8.26; -4.22; -9.03; -3.96; -4.03; -6.19; -1.18; -5.63 eV per atom.